The following is a PBE with a Hubbard U calculation of a relaxed VPdRuO2 crystal, from the Alexandria database.

Output
- total energy (eV per formula unit) = -26.50
- total magnetic moment (μB per formula unit) = 0.00

a = 3.7671 Å, b = 5.1793 Å, c = 3.7671 Å
α = 90.00°, β = 90.00°, γ = 90.00°
Atoms (fractional coordinates):
Pd  0.0000  0.0000  0.0000
O  0.5000  0.0000  0.0000
O  0.0000  0.0000  0.5000
Ru  0.0000  0.5000  0.0000
V  0.5000  0.5000  0.5000